Version a
Entry from the Alexandria database: Mg2ZnHPt after structural relaxation (PBE).

Lattice parameters (Å, degrees): 4.2376 4.2376 3.7677 90.00 90.00 90.00
Last column: nearest neighbours and their distance in Å.
Space group P4/mmm (No. 123)
Asymmetric unit:
Mg (0.0000, 0.5000, 0.0000) [2 per cell]  2 H 2.12
Zn (0.0000, 0.0000, 0.5000) [1 per cell]  2 H 1.88
H (0.0000, 0.0000, 0.0000) [1 per cell]  2 Zn 1.88
Pt (0.5000, 0.5000, 0.5000) [1 per cell]  8 Mg 2.84, 4 Zn 3.00

## Properties
As for the total moment: 0.0 μB per formula unit.

=====

Version b
Entry from the Alexandria database: Mg2ZnHPt after structural relaxation (PBE).

Lattice parameters (Å, degrees): 4.4210 4.4210 3.6177 90.00 90.00 90.00
Last column: nearest neighbours and their distance in Å.
Space group P4/mmm (No. 123)
Asymmetric unit:
Mg (0.0000, 0.5000, 0.0000) [2 per cell]  2 H 2.21
Zn (0.0000, 0.0000, 0.5000) [1 per cell]  8 Mg 2.86, 4 Pt 3.13
H (0.5000, 0.5000, 0.0000) [1 per cell]  2 Pt 1.81
Pt (0.5000, 0.5000, 0.5000) [1 per cell]  2 H 1.81

## Properties
As for the total moment: 0.0 μB per formula unit.

=====

Q: Which of them is the most stable? A: version b.

=====

Version a
Entry from the Alexandria database: MgZnHPt2 after structural relaxation (PBE).

Lattice parameters (Å, degrees): 4.0425 4.0425 3.9476 90.00 90.00 90.00
Last column: nearest neighbours and their distance in Å.
Space group P4/mmm (No. 123)
Asymmetric unit:
Mg (0.0000, 0.0000, 0.0000) [1 per cell]  8 Pt 2.83, 4 Zn 2.86
Zn (0.5000, 0.5000, 0.0000) [1 per cell]  2 H 1.97
H (0.5000, 0.5000, 0.5000) [1 per cell]  2 Zn 1.97, 4 Pt 2.02
Pt (0.0000, 0.5000, 0.5000) [2 per cell]  2 H 2.02

## Properties
As for the total moment: 0.0 μB per formula unit.

=====

Version b
Entry from the Alexandria database: MgZnHPt2 after structural relaxation (PBE).

Lattice parameters (Å, degrees): 4.0074 4.0074 3.9974 90.00 90.00 90.00
Last column: nearest neighbours and their distance in Å.
Space group P4/mmm (No. 123)
Asymmetric unit:
Mg (0.0000, 0.0000, 0.0000) [1 per cell]  2 H 2.00
Zn (0.5000, 0.5000, 0.0000) [1 per cell]  8 Pt 2.83, 4 Mg 2.83
H (0.0000, 0.0000, 0.5000) [1 per cell]  2 Mg 2.00, 4 Pt 2.00
Pt (0.0000, 0.5000, 0.5000) [2 per cell]  2 H 2.00

## Properties
As for the total moment: 0.0 μB per formula unit.

=====

Q: Which of them is the most stable? A: version b.

=====

Version a
Entry from the Alexandria database: MgZr2HPt after structural relaxation (PBE).

Lattice parameters (Å, degrees): 4.2632 4.2632 4.3755 90.00 90.00 90.00
Last column: nearest neighbours and their distance in Å.
Space group P4/mmm (No. 123)
Asymmetric unit:
Mg (0.0000, 0.0000, 0.0000) [1 per cell]  2 H 2.19
Zr (0.0000, 0.5000, 0.5000) [2 per cell]  2 H 2.13
H (0.0000, 0.0000, 0.5000) [1 per cell]  4 Zr 2.13, 2 Mg 2.19
Pt (0.5000, 0.5000, 0.0000) [1 per cell]  4 Mg 3.01, 8 Zr 3.05

## Properties
As for the total moment: 0.0 μB per formula unit.

=====

Version b
Entry from the Alexandria database: MgZr2HPt after structural relaxation (PBE).

Lattice parameters (Å, degrees): 4.4347 4.4347 4.0955 90.00 90.00 90.00
Last column: nearest neighbours and their distance in Å.
Space group P4/mmm (No. 123)
Asymmetric unit:
Mg (0.0000, 0.0000, 0.0000) [1 per cell]  8 Zr 3.02, 4 Pt 3.14
Zr (0.0000, 0.5000, 0.5000) [2 per cell]  2 H 2.22
H (0.5000, 0.5000, 0.5000) [1 per cell]  2 Pt 2.05, 4 Zr 2.22
Pt (0.5000, 0.5000, 0.0000) [1 per cell]  2 H 2.05

## Properties
As for the total moment: 0.0 μB per formula unit.

=====

Q: Which of them is the most stable? A: version a.